A geometry-optimized CrSi2Hg structure, computed with GGA-PBE.

Lattice parameters (Å, degrees): 4.164 4.164 3.827 90.00 90.00 90.00
Space group P4/mmm (No. 123)
Symmetry-distinct sites (fractional):
Cr 0.000 0.000 0.000 (multiplicity 1)
Si 0.000 0.500 0.500 (multiplicity 2)
Hg 0.500 0.500 0.000 (multiplicity 1)

**Total moment**: 3.24 μB/f.u.
**Formation energy (no corrections)**: 2.1 eV/f.u.
**Electronic total energy**: -4.67 eV per atom